# 1
First-principles (meta-GGA SCAN) data for a crystal of Al3CdS relaxed with PBEsol, as listed in Alexandria via LeMat-Bulk.

Lattice parameters (Å, degrees): 4.931 4.931 4.931 90.00 90.00 90.00
Atoms (fractional coordinates):
S  0.500  0.500  0.500
Al  0.500  0.000  0.000
Al  0.000  0.000  0.500
Al  0.000  0.500  0.000
Cd  0.000  0.000  0.000

formation energy from raw total energies	0.653	eV per atom
size of the total moment	0.00	μB/cell
VASP energy	-12.006	eV per atom



# 2
First-principles (meta-GGA SCAN) data for a crystal of ScBNO2 relaxed with PBEsol, as listed in Alexandria via LeMat-Bulk.

Lattice parameters (Å, degrees): 4.013 4.013 4.302 90.00 90.00 90.00
Last column: magnetic moment on the atom in μB.
Atoms (fractional coordinates):
Sc  0.000  0.000  0.000  -0.09
O  0.000  0.500  0.000  0.55
O  0.500  0.000  0.000  0.55
N  0.000  0.000  0.500  1.32
B  0.500  0.500  0.500  -0.02

formation energy from raw total energies	0.244	eV per atom
size of the total moment	3.00	μB/cell
VASP energy	-8.440	eV per atom



# 3
First-principles (meta-GGA SCAN) data for a crystal of Sm2Ga8Co relaxed with PBEsol, as listed in Alexandria via LeMat-Bulk.

Lattice parameters (Å, degrees): 4.203 4.203 11.095 90.00 90.00 90.00
Atoms (fractional coordinates):
Ga  0.500  0.000  0.115
Ga  0.000  0.500  0.885
Ga  0.500  0.500  0.696
Ga  0.000  0.500  0.500
Ga  0.500  0.000  0.500
Ga  0.500  0.500  0.304
Ga  0.500  0.000  0.885
Ga  0.000  0.500  0.115
Co  0.000  0.000  0.000
Sm  0.000  0.000  0.305
Sm  0.000  0.000  0.695

energy of formation	-0.526	eV/atom
size of the total moment	0.00	μB/cell
VASP energy	-22.068	eV per atom



# 4
First-principles (meta-GGA SCAN) data for a crystal of TaReB2Rh relaxed with PBEsol, as listed in Alexandria via LeMat-Bulk.

Lattice parameters (Å, degrees): 4.089 4.089 4.585 90.00 90.00 90.00
Last column: magnetic moment on the atom in μB.
Atoms (fractional coordinates):
B  0.000  0.500  0.000  0.04
B  0.500  0.000  0.000  0.04
Re  0.500  0.500  0.500  -2.33
Rh  0.000  0.000  0.500  -0.18
Ta  0.000  0.000  0.000  0.01

energy of formation	2.036	eV/atom
size of the total moment	2.89	μB/cell
VASP energy	-35.226	eV per atom



Number 1: calculated volume 120 Å³ per cell. Number 2: calculated volume 69 Å³ per cell. Number 3: calculated volume 196 Å³ per cell. Number 4: calculated volume 77 Å³ per cell.